Record 1
Compound: CaLa3Re
Source: Alexandria via LeMat-Bulk
Functional: PBE
Structure: relaxed

The calculation puts the magnetic moment at 0.00 μB per formula unit. The value obtained for the offset from the most stable computed form is 0.00 eV per formula unit. For the volume, the calculation gives 186.0 Å³/f.u.

The space group is Pm-3m (No. 221) and the conventional cell measures 5.708, 5.708 and 5.708 Å, with angles of 90.00, 90.00 and 90.00 degrees. The asymmetric unit holds Ca at (0.000, 0.000, 0.000), La at (0.000, 0.500, 0.500) and Re at (0.500, 0.500, 0.500).

=====

Record 2
Compound: CaLaRe2
Source: Alexandria via LeMat-Bulk
Functional: PBE
Structure: relaxed

The calculation puts the magnetic moment at 0.00 μB per formula unit. For the volume, the calculation gives 102.1 Å³/f.u. Its total energy is -7.1081 eV per atom.

The space group is P4/mmm (No. 123) and the conventional cell measures 3.982, 3.982 and 6.437 Å, with angles of 90.00, 90.00 and 90.00 degrees. The asymmetric unit holds Ca at (0.000, 0.000, 0.000), La at (0.000, 0.000, 0.500) and Re at (0.500, 0.500, 0.319).

=====

Record 3
Compound: CaLaRe4
Source: Alexandria via LeMat-Bulk
Functional: PBE
Structure: relaxed

The calculation puts the magnetic moment at 0.00 μB per formula unit. For the volume, the calculation gives 117.1 Å³/f.u. Its total energy is -9.2761 eV per atom.

The space group is F-43m (No. 216) and the conventional cell measures 7.765, 7.765 and 7.765 Å, with angles of 90.00, 90.00 and 90.00 degrees. The asymmetric unit holds Ca at (0.000, 0.000, 0.000), La at (0.250, 0.250, 0.750) and Re at (0.125, 0.125, 0.375).

=====

Record 4
Compound: CaLa2ScRe
Source: Alexandria via LeMat-Bulk
Functional: PBE
Structure: relaxed

The calculation puts the magnetic moment at 0.00 μB per formula unit. For the volume, the calculation gives 161.4 Å³/f.u. Its total energy is -5.2641 eV per atom.

The space group is P4/mmm (No. 123) and the conventional cell measures 5.817, 5.817 and 4.769 Å, with angles of 90.00, 90.00 and 90.00 degrees. The asymmetric unit holds Ca at (0.000, 0.000, 0.000), La at (0.000, 0.500, 0.500), Sc at (0.500, 0.500, 0.500) and Re at (0.500, 0.500, 0.000).

=====

no.,mass density (g/cm³)
1,5.741
2,8.971
3,13.104
4,5.650